The following is a DFT calculation (meta-GGA SCAN) of DyGe2Pt at its PBEsol-relaxed geometry. Values from VASP.

Properties
SG: Immm, No. 71
ΔH_f (0 K) (meV/atom): -1055

```
&SYSTEM
  ibrav = 0, nat = 16, ntyp = 3
/
ATOMIC_SPECIES
Dy 162.50 Dy.upf
Ge 72.64 Ge.upf
Pt 195.08 Pt.upf
CELL_PARAMETERS angstrom
-0.711 1.049 4.091
-8.498 -1.188 -1.172
5.399 -7.721 0.676
ATOMIC_POSITIONS angstrom
Dy 0.119 -4.125 3.320
Dy -6.242 -0.873 -0.861
Dy -2.256 -0.315 -0.311
Dy -3.929 -3.734 0.275
Ge -3.572 -7.232 1.234
Ge -0.238 -0.628 2.362
Ge -4.487 -1.225 1.777
Ge -2.853 -4.561 2.916
Ge 0.676 -6.634 1.819
Ge -5.403 -4.917 2.564
Ge -0.957 -3.299 0.680
Ge 1.593 -2.943 1.031
Pt -1.570 -5.783 1.210
Pt -2.241 -2.077 2.385
Pt 2.688 -5.188 1.798
Pt -6.499 -2.672 1.798
```


The following is a DFT calculation (meta-GGA SCAN) of Dy2Ge5Rh3 at its PBEsol-relaxed geometry. Values from VASP.

Properties
SG: C2/c, No. 15
ΔH_f (0 K) (meV/atom): -933

```
&SYSTEM
  ibrav = 0, nat = 20, ntyp = 3
/
ATOMIC_SPECIES
Dy 162.50 Dy.upf
Ge 72.64 Ge.upf
Rh 102.91 Rh.upf
CELL_PARAMETERS angstrom
5.785 0.001 0.002
-2.653 7.792 -0.006
-2.653 -1.544 7.638
ATOMIC_POSITIONS angstrom
Dy -2.507 5.866 4.518
Dy 0.093 2.978 0.990
Dy 2.986 0.384 3.116
Dy 0.386 3.272 6.643
Ge -1.207 3.250 3.713
Ge 1.686 2.999 3.920
Ge -1.207 0.382 6.061
Ge 1.686 5.867 1.572
Ge 0.075 0.182 2.029
Ge -2.488 4.296 7.053
Ge 0.404 6.067 5.604
Ge 2.967 1.954 0.580
Ge -1.207 5.721 1.690
Ge 1.686 0.528 5.943
Rh 0.021 1.201 4.174
Rh -2.435 2.394 5.631
Rh 0.457 5.049 3.459
Rh 2.914 3.856 2.002
Rh -1.207 -1.532 7.629
Rh 1.686 7.782 0.004
```


The following is a DFT calculation (meta-GGA SCAN) of Dy3Ge13Ru4 at its PBEsol-relaxed geometry. Values from VASP.

Properties
SG: Pm-3n, No. 223
ΔH_f (0 K) (meV/atom): -515

```
&SYSTEM
  ibrav = 0, nat = 40, ntyp = 3
/
ATOMIC_SPECIES
Dy 162.50 Dy.upf
Ge 72.64 Ge.upf
Ru 101.07 Ru.upf
CELL_PARAMETERS angstrom
-3.175 8.130 -1.789
-8.274 -2.872 1.634
0.914 2.244 8.574
ATOMIC_POSITIONS angstrom
Dy -3.451 0.247 7.247
Dy -3.656 3.347 -0.486
Dy -1.924 7.219 2.945
Dy -3.909 -0.875 2.960
Dy -7.793 1.911 0.331
Dy -0.337 3.154 3.840
Ge -5.268 3.751 4.210
Ge 0.000 0.000 0.000
Ge -5.006 6.628 3.429
Ge -5.460 5.626 6.534
Ge -2.635 4.948 4.980
Ge -5.529 0.873 4.990
Ge -5.076 1.875 1.885
Ge -7.900 2.553 3.439
Ge -7.446 5.781 3.910
Ge -6.012 4.272 1.358
Ge -3.089 1.720 4.509
Ge -4.524 3.230 7.061
Ge -7.630 3.215 5.967
Ge -2.905 4.287 2.452
Ge -0.179 4.367 6.770
Ge -2.966 0.332 0.229
Ge -0.581 1.143 6.227
Ge -2.082 6.007 0.015
Ge -8.484 4.926 -0.384
Ge -6.779 -1.772 3.981
Ge -0.824 2.785 0.724
Ge -6.245 -0.807 0.877
Ge -1.437 7.589 6.061
Ge -5.205 6.065 -1.032
Ge -0.944 0.254 2.829
Ge -6.416 -0.882 7.379
Ru -3.764 7.062 5.497
Ru -6.771 0.439 2.922
Ru -8.359 4.504 2.027
Ru -2.177 2.997 6.392
Ru -6.314 1.561 7.209
Ru -4.221 5.940 1.210
Ru -2.634 1.875 2.105
Ru -7.901 5.626 6.314
```


The following is a DFT calculation (meta-GGA SCAN) of Dy4Zn5Ge6 at its PBEsol-relaxed geometry. Values from VASP.

Properties
SG: Cmc2_1, No. 36
ΔH_f (0 K) (meV/atom): -630

```
&SYSTEM
  ibrav = 0, nat = 30, ntyp = 3
/
ATOMIC_SPECIES
Dy 162.50 Dy.upf
Zn 65.41 Zn.upf
Ge 72.64 Ge.upf
CELL_PARAMETERS angstrom
4.175 0.000 0.000
-2.088 9.126 0.000
0.000 0.000 15.057
ATOMIC_POSITIONS angstrom
Dy 2.088 8.761 11.508
Dy 0.000 0.365 3.980
Dy 2.088 5.920 4.797
Dy 0.000 3.206 12.326
Dy 2.088 6.068 14.456
Dy 0.000 3.058 6.928
Dy 2.088 8.528 7.531
Dy 0.000 0.598 0.003
Zn 2.088 2.830 14.885
Zn 0.000 6.296 7.357
Zn 2.088 3.632 9.625
Zn 0.000 5.494 2.096
Zn 0.000 6.385 11.779
Zn 2.088 2.741 4.251
Zn 2.088 6.367 9.581
Zn 0.000 2.759 2.053
Zn 2.088 1.205 8.686
Zn 0.000 7.921 1.158
Ge 2.088 4.974 7.505
Ge 0.000 4.152 15.033
Ge 2.088 1.262 12.872
Ge 0.000 7.864 5.343
Ge 2.088 5.066 11.703
Ge 0.000 4.060 4.175
Ge 0.000 8.033 13.681
Ge 2.088 1.093 6.153
Ge 0.000 7.905 9.542
Ge 2.088 1.221 2.014
Ge 2.088 7.095 2.205
Ge 0.000 2.031 9.734
```


The following is a DFT calculation (meta-GGA SCAN) of DyH4I3O11 at its PBEsol-relaxed geometry. Values from VASP.

Properties
SG: P-1, No. 2

```
&SYSTEM
  ibrav = 0, nat = 38, ntyp = 4
/
ATOMIC_SPECIES
Dy 162.50 Dy.upf
H 1.01 H.upf
I 126.90 I.upf
O 16.00 O.upf
CELL_PARAMETERS angstrom
6.923 -0.012 -0.079
-2.316 6.792 -0.009
-3.018 -1.751 10.064
ATOMIC_POSITIONS angstrom
Dy 4.264 3.597 2.067
Dy -2.675 1.431 7.908
H 2.381 3.942 6.061
H -0.792 1.086 3.915
H 1.494 5.270 6.191
H 0.095 -0.241 3.785
H 2.770 5.886 1.293
H -0.479 -0.702 7.224
H 2.068 5.731 2.752
H -1.181 -0.857 8.682
I 3.092 1.072 4.441
I -1.503 3.957 5.535
I 0.933 2.933 8.330
I 0.656 2.096 1.646
I 1.566 -0.570 9.329
I 0.023 5.599 0.647
O 0.145 0.758 3.785
O 5.035 1.663 0.983
O -1.678 5.524 1.296
O 3.267 -0.495 8.680
O 2.276 0.629 0.283
O -0.687 4.400 9.693
O -3.446 3.366 8.993
O 0.731 1.856 9.820
O -0.344 3.358 2.530
O 1.933 1.670 7.445
O 2.252 2.490 2.499
O -0.663 2.538 7.477
O -3.008 3.124 6.236
O 4.597 1.905 3.740
O -2.363 4.773 4.128
O 3.952 0.256 5.848
O -1.413 5.405 6.619
O 3.002 -0.376 3.357
O -1.152 -0.303 7.856
O 2.741 5.331 2.119
O 0.858 3.173 0.156
O 1.444 4.271 6.191
```


The following is a DFT calculation (meta-GGA SCAN) of Dy2Mo3H2Se2O17 at its PBEsol-relaxed geometry. Values from VASP.

Properties
SG: P2_1/m, No. 11

```
&SYSTEM
  ibrav = 0, nat = 52, ntyp = 5
/
ATOMIC_SPECIES
Dy 162.50 Dy.upf
Mo 95.94 Mo.upf
H 1.01 H.upf
Se 78.96 Se.upf
O 16.00 O.upf
CELL_PARAMETERS angstrom
6.703 0.000 0.021
0.000 7.187 0.000
-2.328 0.000 13.867
ATOMIC_POSITIONS angstrom
Dy 2.904 1.797 7.449
Dy 1.471 5.390 6.440
Dy 1.423 1.797 1.707
Dy 2.952 5.390 12.182
Mo 4.986 0.028 1.926
Mo -0.611 3.622 11.963
Mo -0.611 7.159 11.963
Mo 4.986 3.565 1.926
Mo 5.019 5.390 4.641
Mo -0.644 1.797 9.247
H 4.245 2.581 4.894
H 0.131 6.175 8.994
H 0.131 4.606 8.994
H 4.245 1.012 4.894
Se 0.463 1.797 5.346
Se 3.912 5.390 8.543
Se 1.278 5.390 2.685
Se 3.098 1.797 11.204
O 1.293 0.519 6.202
O 3.082 4.113 7.687
O 3.082 6.668 7.687
O 1.293 3.074 6.202
O 1.251 1.797 3.846
O 3.124 5.390 10.043
O 0.589 5.390 4.239
O 3.787 1.797 9.650
O 0.460 6.761 1.997
O 3.915 3.168 11.892
O 3.915 0.426 11.892
O 0.460 4.019 1.997
O 5.772 1.797 1.820
O -1.397 5.390 12.069
O 5.097 6.699 0.276
O -0.722 3.105 13.612
O -0.722 0.488 13.612
O 5.097 4.082 0.276
O 3.335 0.531 2.012
O 1.040 4.125 11.876
O 1.040 6.656 11.876
O 3.335 3.062 2.012
O 5.190 7.160 3.999
O -0.815 3.566 9.890
O -0.815 0.027 9.890
O 5.190 3.621 3.999
O 4.758 5.390 2.476
O -0.383 1.797 11.412
O 3.320 5.390 5.021
O 1.055 1.797 8.867
O -0.930 5.390 6.187
O 5.306 1.797 7.702
O 3.818 1.797 5.350
O 0.557 5.390 8.539
```


The following is a DFT calculation (meta-GGA SCAN) of Dy2Hf2O7 at its PBEsol-relaxed geometry. Values from VASP.

Properties
Energy relative to the elements, uncorrected (meV per atom): -3894
SG: Fd-3m, No. 227

```
&SYSTEM
  ibrav = 0, nat = 22, ntyp = 3
/
ATOMIC_SPECIES
Dy 162.50 Dy.upf
Hf 178.49 Hf.upf
O 16.00 O.upf
CELL_PARAMETERS angstrom
-1.643 -1.194 -7.050
3.902 -4.829 -3.909
-3.022 -6.368 -2.035
ATOMIC_POSITIONS angstrom
Dy 1.034 -4.561 -7.104
Dy -2.428 -5.330 -6.167
Dy -0.477 -7.745 -8.122
Dy 0.345 -7.148 -4.596
Hf -1.606 -4.733 -2.642
Hf 1.856 -3.964 -3.579
Hf -0.095 -1.549 -1.624
Hf -0.917 -2.146 -5.149
O -0.381 -6.196 -6.497
O -0.572 -9.294 -9.746
O -1.890 -6.294 -3.948
O 0.941 -3.024 -5.162
O -2.829 -6.977 -7.976
O 0.339 -9.054 -6.181
O -1.102 -3.338 -6.813
O 2.066 -5.415 -5.019
O 1.127 -6.097 -9.047
O -0.732 -0.954 -3.486
O 0.350 -5.242 -3.012
O -1.323 -3.172 -1.336
O 1.646 -2.512 -2.139
O -2.027 -3.684 -4.358
```


The following is a DFT calculation (meta-GGA SCAN) of DyHg2 at its PBEsol-relaxed geometry. Values from VASP.

Properties
SG: P6/mmm, No. 191
ΔH_f (0 K) (meV/atom): -570

```
&SYSTEM
  ibrav = 0, nat = 3, ntyp = 2
/
ATOMIC_SPECIES
Hg 200.59 Hg.upf
Dy 162.50 Dy.upf
CELL_PARAMETERS angstrom
-2.860 -0.844 1.555
-1.957 -1.221 -4.260
2.394 -3.310 2.604
ATOMIC_POSITIONS angstrom
Hg 0.944 -2.614 0.316
Hg -0.507 -1.918 -1.972
Dy -1.430 -0.422 0.778
```


The following is a DFT calculation (meta-GGA SCAN) of LiDyHg2 at its PBEsol-relaxed geometry. Values from VASP.

Properties
SG: Fm-3m, No. 225
ΔH_f (0 K) (meV/atom): -613

```
&SYSTEM
  ibrav = 0, nat = 4, ntyp = 3
/
ATOMIC_SPECIES
Dy 162.50 Dy.upf
Hg 200.59 Hg.upf
Li 6.94 Li.upf
CELL_PARAMETERS angstrom
-2.483 -4.093 -1.173
-0.768 -3.478 3.407
-4.531 -0.733 1.795
ATOMIC_POSITIONS angstrom
Dy -3.891 -4.152 2.015
Hg -1.946 -2.076 1.007
Hg -5.837 -6.228 3.022
Li 0.000 0.000 0.000
```


The following is a DFT calculation (meta-GGA SCAN) of DyMgHg2 at its PBEsol-relaxed geometry. Values from VASP.

Properties
SG: Fm-3m, No. 225
ΔH_f (0 K) (meV/atom): -655

```
&SYSTEM
  ibrav = 0, nat = 4, ntyp = 3
/
ATOMIC_SPECIES
Mg 24.30 Mg.upf
Hg 200.59 Hg.upf
Dy 162.50 Dy.upf
CELL_PARAMETERS angstrom
4.987 0.000 0.000
2.493 4.318 0.000
2.493 1.439 4.072
ATOMIC_POSITIONS angstrom
Mg 0.000 0.000 0.000
Hg 2.493 1.439 1.018
Hg 7.480 4.318 3.054
Dy 4.987 2.879 2.036
```


The following is a DFT calculation (meta-GGA SCAN) of PmDyHg2 at its PBEsol-relaxed geometry. Values from VASP.

Properties
SG: Fm-3m, No. 225
ΔH_f (0 K) (meV/atom): -693

```
&SYSTEM
  ibrav = 0, nat = 4, ntyp = 3
/
ATOMIC_SPECIES
Dy 162.50 Dy.upf
Hg 200.59 Hg.upf
Pm 145.00 Pm.upf
CELL_PARAMETERS angstrom
5.227 0.000 0.000
2.614 4.527 0.000
2.614 1.509 4.268
ATOMIC_POSITIONS angstrom
Dy 5.227 3.018 2.134
Hg 2.614 1.509 1.067
Hg 7.841 4.527 3.201
Pm 0.000 0.000 0.000
```


The following is a DFT calculation (meta-GGA SCAN) of DyHg2Pt at its PBEsol-relaxed geometry. Values from VASP.

Properties
SG: Cmcm, No. 63
ΔH_f (0 K) (meV/atom): -697

```
&SYSTEM
  ibrav = 0, nat = 8, ntyp = 3
/
ATOMIC_SPECIES
Hg 200.59 Hg.upf
Pt 195.08 Pt.upf
Dy 162.50 Dy.upf
CELL_PARAMETERS angstrom
4.030 0.000 0.000
-2.015 4.935 0.000
0.000 0.000 8.497
ATOMIC_POSITIONS angstrom
Hg 0.000 3.580 3.857
Hg 2.015 1.355 4.640
Hg 0.000 3.580 0.391
Hg 2.015 1.355 8.105
Pt 2.015 2.677 2.124
Pt 0.000 2.258 6.373
Dy 2.015 4.263 6.373
Dy 0.000 0.672 2.124
```


The following is a DFT calculation (meta-GGA SCAN) of SmDyHg2 at its PBEsol-relaxed geometry. Values from VASP.

Properties
SG: Fm-3m, No. 225
ΔH_f (0 K) (meV/atom): -698

```
&SYSTEM
  ibrav = 0, nat = 4, ntyp = 3
/
ATOMIC_SPECIES
Hg 200.59 Hg.upf
Sm 150.36 Sm.upf
Dy 162.50 Dy.upf
CELL_PARAMETERS angstrom
5.214 0.000 0.000
2.607 4.515 0.000
2.607 1.505 4.257
ATOMIC_POSITIONS angstrom
Hg 2.607 1.505 1.064
Hg 7.821 4.515 3.193
Sm 0.000 0.000 0.000
Dy 5.214 3.010 2.129
```


The following is a DFT calculation (meta-GGA SCAN) of TbDyHg2 at its PBEsol-relaxed geometry. Values from VASP.

Properties
SG: Fm-3m, No. 225
ΔH_f (0 K) (meV/atom): -708

```
&SYSTEM
  ibrav = 0, nat = 4, ntyp = 3
/
ATOMIC_SPECIES
Tb 158.93 Tb.upf
Hg 200.59 Hg.upf
Dy 162.50 Dy.upf
CELL_PARAMETERS angstrom
5.175 0.000 0.000
2.588 4.482 0.000
2.588 1.494 4.225
ATOMIC_POSITIONS angstrom
Tb 0.000 0.000 0.000
Hg 2.588 1.494 1.056
Hg 7.763 4.482 3.169
Dy 5.175 2.988 2.113
```


The following is a DFT calculation (meta-GGA SCAN) of DyTmHg2 at its PBEsol-relaxed geometry. Values from VASP.

Properties
SG: Fm-3m, No. 225
ΔH_f (0 K) (meV/atom): -706

```
&SYSTEM
  ibrav = 0, nat = 4, ntyp = 3
/
ATOMIC_SPECIES
Tm 168.93 Tm.upf
Hg 200.59 Hg.upf
Dy 162.50 Dy.upf
CELL_PARAMETERS angstrom
-3.329 -1.551 3.589
1.581 -3.036 3.828
0.328 1.852 4.778
ATOMIC_POSITIONS angstrom
Tm 0.000 0.000 0.000
Hg -0.355 -0.684 3.049
Hg -1.065 -2.051 9.147
Dy -0.710 -1.367 6.098
```


The following is a DFT calculation (meta-GGA SCAN) of Dy2ZnHg at its PBEsol-relaxed geometry. Values from VASP.

Properties
SG: Fm-3m, No. 225
ΔH_f (0 K) (meV/atom): -564

```
&SYSTEM
  ibrav = 0, nat = 4, ntyp = 3
/
ATOMIC_SPECIES
Zn 65.41 Zn.upf
Hg 200.59 Hg.upf
Dy 162.50 Dy.upf
CELL_PARAMETERS angstrom
-4.571 -1.944 -1.047
-2.205 -3.202 3.264
-4.060 1.485 2.661
ATOMIC_POSITIONS angstrom
Zn 0.000 0.000 0.000
Hg -5.418 -1.830 2.439
Dy -8.126 -2.746 3.659
Dy -2.709 -0.915 1.220
```


The following is a DFT calculation (meta-GGA SCAN) of DyHoIn2 at its PBEsol-relaxed geometry. Values from VASP.

Properties
SG: Fm-3m, No. 225
ΔH_f (0 K) (meV/atom): -610

```
&SYSTEM
  ibrav = 0, nat = 4, ntyp = 3
/
ATOMIC_SPECIES
Dy 162.50 Dy.upf
Ho 164.93 Ho.upf
In 114.82 In.upf
CELL_PARAMETERS angstrom
5.209 0.000 0.000
2.604 4.511 0.000
2.604 1.504 4.253
ATOMIC_POSITIONS angstrom
Dy 5.209 3.007 2.126
Ho 0.000 0.000 0.000
In 2.604 1.504 1.063
In 7.813 4.511 3.190
```


The following is a DFT calculation (meta-GGA SCAN) of DyHoRu2 at its PBEsol-relaxed geometry. Values from VASP.

Properties
SG: Fm-3m, No. 225
ΔH_f (0 K) (meV/atom): -449

```
&SYSTEM
  ibrav = 0, nat = 4, ntyp = 3
/
ATOMIC_SPECIES
Ru 101.07 Ru.upf
Ho 164.93 Ho.upf
Dy 162.50 Dy.upf
CELL_PARAMETERS angstrom
4.714 0.000 0.000
2.357 4.083 0.000
2.357 1.361 3.849
ATOMIC_POSITIONS angstrom
Ru 7.072 4.083 2.887
Ru 2.357 1.361 0.962
Ho 0.000 0.000 0.000
Dy 4.714 2.722 1.925
```


The following is a DFT calculation (meta-GGA SCAN) of DyHoTl2 at its PBEsol-relaxed geometry. Values from VASP.

Properties
SG: Fm-3m, No. 225
ΔH_f (0 K) (meV/atom): -524

```
&SYSTEM
  ibrav = 0, nat = 4, ntyp = 3
/
ATOMIC_SPECIES
Tl 204.38 Tl.upf
Ho 164.93 Ho.upf
Dy 162.50 Dy.upf
CELL_PARAMETERS angstrom
-0.324 5.159 -0.937
0.343 1.802 -4.923
-4.248 1.977 -2.375
ATOMIC_POSITIONS angstrom
Tl -1.057 2.234 -2.059
Tl -3.172 6.703 -6.176
Ho 0.000 0.000 0.000
Dy -2.115 4.469 -4.117
```


Going through the records in order, we get D(E_F) values of 4.11, 8.59, 15.20, 2.40, 0.00, 0.00, 0.00, 1.34, 2.26, 1.02, 2.92, 3.07, 2.79, 2.46, 2.18, 2.65, 1.79, 2.29, 3.02 states/eV per cell.
Going through the records in order, we get raw total energy values of -641.537, -603.360, -1082.276, -765.488, -522.629, -816.541, -614.793, -185.837, -188.968, -191.723, -230.888, -514.215, -231.362, -233.722, -238.783, -179.530, -165.998, -168.233, -243.595 eV for the cell shown.